K2LiCdI5, relaxed, DFT GGA-PBE; energy relative to the elements, uncorrected = -1104 meV per atom; M_tot = 0.00 μB/f.u.; space-group type = Cmc2_1; Fermi-level density of states = 0.00 states/eV per cell
1.0
4.6329 0.0000 0.0000
-2.3164 10.3345 0.0000
0.0000 0.0000 14.9201
K Li Cd I
4 2 2 10
Direct
0.8745 0.7490 0.8126
0.1064 0.2129 0.6791
0.1255 0.2510 0.3126
0.8936 0.7871 0.1791
0.5707 0.1415 0.9358
0.4293 0.8585 0.4358
0.7863 0.5727 0.5250
0.2137 0.4273 0.0250
0.3542 0.7084 0.0037
0.7014 0.4028 0.8833
0.5022 0.0043 0.7815
0.2811 0.5623 0.6643
0.9311 0.8622 0.5385
0.6458 0.2916 0.5037
0.2986 0.5972 0.3833
0.4978 0.9957 0.2815
0.7189 0.4377 0.1643
0.0689 0.1378 0.0385



TeAsIr2, relaxed, DFT GGA-PBE; energy relative to the elements, uncorrected = 436 meV per atom; M_tot = 0.00 μB/f.u.; energy relative to the lowest polymorph listed for this composition = 0.5675 eV per atom; space-group type = Cmmm; Fermi-level density of states = 2.99 states/eV per cell
1.0
-4.0204 -2.4151 0.7007
2.9146 -3.6426 -0.8506
0.6504 -0.1944 3.0613
As Ir Te
1 2 1
Direct
0.0000 0.5000 0.5000
0.0000 0.0000 0.0000
0.5000 0.5000 0.0000
0.5000 0.0000 0.5000



SiTc3S, relaxed, DFT GGA-PBE; energy relative to the elements, uncorrected = 624 meV per atom; M_tot = 1.00 μB/f.u.; energy relative to the lowest polymorph listed for this composition = 0.0000 eV per atom; space-group type = Pm-3m; Fermi-level density of states = 4.49 states/eV per cell
1.0
-1.6813 2.2385 -3.2914
1.2170 -3.1128 -2.7387
-3.7899 -1.9927 0.5808
S Si Tc
1 1 3
Direct
0.0000 0.0000 0.0000
0.5000 0.5000 0.5000
0.0000 0.5000 0.0000
0.0000 0.0000 0.5000
0.5000 0.0000 0.0000



Ga2Bi2Se, relaxed, DFT GGA-PBE; energy relative to the elements, uncorrected = 28 meV per atom; M_tot = 0.00 μB/f.u.; energy relative to the lowest polymorph listed for this composition = 0.0000 eV per atom; space-group type = I4/mmm; Fermi-level density of states = 2.14 states/eV per cell
1.0
3.9483 0.0000 0.0000
0.0000 3.9483 0.0000
1.9741 1.9741 8.1328
Ga Bi Se
2 2 1
Direct
0.7500 0.2500 0.5000
0.2500 0.7500 0.5000
0.3908 0.3908 0.2184
0.6092 0.6092 0.7816
0.0000 0.0000 0.0000